# 1
LiB2Os2 (PBE, optimized geometry); VASP energy = -7.4578 eV/atom
1.0
-1.8323 1.8323 4.3644
1.8323 -1.8323 4.3644
1.8323 1.8323 -4.3644
B Li Os
2 1 2
Direct
0.3988 0.3988 0.0000 B
0.6012 0.6012 0.0000 B
0.0000 0.0000 0.0000 Li
0.7500 0.2500 0.5000 Os
0.2500 0.7500 0.5000 Os



# 2
Ho2Al4NiPd (PBE, optimized geometry); VASP energy = -5.0727 eV/atom
1.0
-5.6504 -3.9890 -0.4902
2.6240 -4.0378 2.6110
0.6091 -1.5057 5.2316
Al Ho Ni Pd
4 2 1 1
Direct
0.3105 0.3516 0.3516 Al
0.6895 0.3516 0.3516 Al
0.2055 0.6496 0.6496 Al
0.7945 0.6496 0.6496 Al
0.5000 0.0640 0.0640 Ho
0.0000 0.9328 0.9328 Ho
0.5000 0.7873 0.7873 Ni
0.0000 0.2135 0.2135 Pd



# 3
NaErZnTe3 (PBE, optimized geometry); excess energy over the best structure of this formula in the dataset = 0.00 eV per formula unit
1.0
11.5247 0.0000 0.0000
0.0000 4.2888 0.0000
0.0000 0.0000 14.7340
Er Na Te Zn
4 4 12 4
Direct
0.5117 0.7500 0.2465 Er
0.0117 0.7500 0.2535 Er
0.9883 0.2500 0.7465 Er
0.4883 0.2500 0.7535 Er
0.7677 0.7500 0.0146 Na
0.2677 0.7500 0.4854 Na
0.7323 0.2500 0.5146 Na
0.2323 0.2500 0.9854 Na
0.5779 0.2500 0.1085 Te
0.9469 0.2500 0.1144 Te
0.2601 0.7500 0.1660 Te
0.7601 0.7500 0.3340 Te
0.4469 0.2500 0.3856 Te
0.0779 0.2500 0.3915 Te
0.9221 0.7500 0.6085 Te
0.5531 0.7500 0.6144 Te
0.2399 0.2500 0.6660 Te
0.7399 0.2500 0.8340 Te
0.0531 0.7500 0.8856 Te
0.4221 0.7500 0.8915 Te
0.7594 0.2500 0.2198 Zn
0.2594 0.2500 0.2802 Zn
0.7406 0.7500 0.7198 Zn
0.2406 0.7500 0.7802 Zn



# 4
YMgTcW (PBE, optimized geometry); excess energy over the best structure of this formula in the dataset = 0.01 eV per formula unit
1.0
-3.6316 -2.4738 -1.6732
-4.1727 0.1978 2.1579
-3.6055 2.2127 -2.0523
Mg Tc W Y
1 1 1 1
Direct
0.7500 0.7500 0.7500 Mg
0.5000 0.5000 0.5000 Tc
0.2500 0.2500 0.2500 W
0.0000 0.0000 0.0000 Y



# 5
ErTm2NiSn3Pt2 (PBE, optimized geometry); VASP energy = -5.7849 eV/atom
1.0
-2.4733 1.5267 2.5412
-1.7747 -6.8625 2.3955
5.6183 3.7546 3.2124
Er Ni Pt Sn Tm
1 1 2 3 2
Direct
0.0000 0.4053 0.4053 Er
0.0000 0.9996 0.9996 Ni
0.5000 0.6675 0.3331 Pt
0.5000 0.3331 0.6675 Pt
0.5000 0.9998 0.2498 Sn
0.5000 0.7500 0.7500 Sn
0.5000 0.2498 0.9998 Sn
0.0000 0.5950 0.0000 Tm
0.0000 0.0000 0.5950 Tm



# 6
Ta2SnO4 (PBE, optimized geometry); VASP energy = -8.3346 eV/atom
1.0
4.6478 -4.6500 0.0000
-4.6478 0.0000 -4.6500
4.6478 4.6500 0.0000
O Sn Ta
8 2 4
Direct
0.5995 0.1992 0.4004 O
0.2012 0.8008 0.4004 O
0.5996 0.8008 0.4005 O
0.1504 0.3008 0.4512 O
0.5996 0.1992 0.7988 O
0.1504 0.6992 0.8495 O
0.1505 0.3008 0.8496 O
0.5488 0.6992 0.8496 O
0.0000 0.0000 0.0000 Sn
0.7500 0.5000 0.2500 Sn
0.3750 0.7500 0.1250 Ta
0.8750 0.2500 0.6250 Ta
0.3750 0.2500 0.6250 Ta
0.3750 0.7500 0.6250 Ta